9
Lattice="5.151 0.000 0.000 -2.428 4.597 0.000 -0.104 -0.154 6.309" Properties=species:S:1:pos:R:3 comment="RbVReO6 | the Alexandria database | PBE+U | relaxed" dft_energy_ev_per_atom=-7.399 density_g_cm3=4.65 spacegroup="P1, No. 1" magnetic_moment_mub_per_fu=1.00 pbc="T T T"
Rb 0.000 0.000 0.000
V 0.004 3.034 2.920
Re 2.556 1.417 3.226
O 1.921 -0.050 4.154
O 1.188 1.805 1.950
O 1.559 2.638 4.202
O 3.083 -0.010 2.018
O 4.116 1.660 4.155
O 3.652 2.679 2.015